No. 1
A geometry-optimized AlMo2PbAu structure, computed with PBE.

Computed properties:
- Uncorrected energy: -4.38 eV/atom
- V: 139.8 Å³/cell
- ΔH_f (0 K): 10.509 eV per formula unit

Lattice parameters (Å, degrees): 5.2689 5.2689 5.0354 90.00 90.00 90.00
Closest atoms and distances in Å follow each position.
Space group P4/mmm (No. 123)
One atom of each set of equivalent atoms:
Al 0.0000 0.0000 0.0000 (multiplicity 1)  2 Pb 2.52
Mo 0.0000 0.5000 0.5000 (multiplicity 2)  2 Pb 2.63
Pb 0.0000 0.0000 0.5000 (multiplicity 1)  2 Al 2.52, 4 Mo 2.63
Au 0.5000 0.5000 0.0000 (multiplicity 1)  8 Mo 3.64, 4 Al 3.73

***

No. 2
A geometry-optimized Al2ReMoAu structure, computed with PBE.

Computed properties:
- Uncorrected energy: -5.94 eV/atom
- V: 107.8 Å³/cell
- ΔH_f (0 K): 4.329 eV per formula unit

Lattice parameters (Å, degrees): 4.7395 4.7395 4.7972 90.00 90.00 90.00
Closest atoms and distances in Å follow each position.
Space group P4/mmm (No. 123)
One atom of each set of equivalent atoms:
Al 0.0000 0.5000 0.0000 (multiplicity 2)  2 Re 2.37
Re 0.0000 0.0000 0.0000 (multiplicity 1)  4 Al 2.37, 2 Mo 2.40
Mo 0.0000 0.0000 0.5000 (multiplicity 1)  2 Re 2.40
Au 0.5000 0.5000 0.5000 (multiplicity 1)  4 Mo 3.35, 8 Al 3.37